Compound: RbCa2Hf
Source: Alexandria via LeMat-Bulk
Functional: PBE-GGA
Structure: relaxed

Values from the calculation:
* density of states at the Fermi level: 6.09 states/eV/f.u.
* E_tot: -2.884 eV/atom
* space-group type: No. 225
* ΔE_f: 0.8470 eV/atom
* relative energy among the computed polymorphs: 0 meV/atom

Cell lengths 6.007, 6.007, 6.007 Å; angles 60.00, 60.00, 60.00 degrees
Sites, in units of the cell vectors:
Rb 0.000 0.000 0.000
Ca 0.250 0.250 0.250
Ca 0.750 0.750 0.750
Hf 0.500 0.500 0.500